[1]
IrPtS | PBE | optimized geometry

Properties
Energy relative to the elements, uncorrected   -0.02 eV per atom
Total moment   0.00 μB/atom
Offset from the most stable computed form   0 meV/atom
Fermi-level density of states   6.865 states/eV/cell
DFT total energy   -6.367 eV/atom

a = 9.298 Å, b = 5.435 Å, c = 3.849 Å
α = 90.00°, β = 101.51°, γ = 90.00°
Space group C2 (No. 5)
Inequivalent atoms, fractional coordinates:
Ir1 0.220 0.000 0.100 (multiplicity 4)
Pt1 0.000 0.335 0.000 (multiplicity 2)
Pt2 0.000 0.958 0.500 (multiplicity 2)
S1 0.154 0.632 0.334 (multiplicity 4)

[2]
KSrGaH2 | PBE | optimized geometry

Properties
Total moment   0.27 μB/atom
Fermi-level density of states   3.120 states/eV/cell
DFT total energy   -2.353 eV/atom

a = 4.807 Å, b = 4.807 Å, c = 6.550 Å
α = 90.00°, β = 90.00°, γ = 90.00°
Space group P4/mmm (No. 123)
Inequivalent atoms, fractional coordinates:
K1 0.000 0.000 0.000 (multiplicity 1)
Sr1 0.500 0.500 0.500 (multiplicity 1)
Ga1 0.500 0.500 0.000 (multiplicity 1)
H1 0.000 0.500 0.500 (multiplicity 2)

[3]
Tb4SmY2 | PBE | optimized geometry

Properties
Total moment   0.00 μB/atom
Offset from the most stable computed form   0 meV/atom
Fermi-level density of states   21.831 states/eV/cell
DFT total energy   -5.127 eV/atom

a = 16.815 Å, b = 3.533 Å, c = 8.794 Å
α = 90.00°, β = 119.45°, γ = 90.00°
Space group C2/m (No. 12)
Inequivalent atoms, fractional coordinates:
Tb1 0.142 0.000 0.336 (multiplicity 4)
Tb2 0.205 0.000 0.793 (multiplicity 4)
Sm1 0.000 0.500 0.500 (multiplicity 2)
Y1 0.071 0.500 0.930 (multiplicity 4)

[4]
Rb2Ir3PbO12 | PBE | optimized geometry

Properties
Energy relative to the elements, uncorrected   -0.84 eV per atom
Total moment   0.24 μB/atom
Fermi-level density of states   27.292 states/eV/cell
DFT total energy   -5.939 eV/atom

a = 7.3137 Å, b = 7.3137 Å, c = 18.3783 Å
α = 90.00°, β = 90.00°, γ = 120.00°
Space group R-3m (No. 166, hexagonal axes)
Inequivalent atoms, fractional coordinates:
Rb1 0.0000 0.0000 0.1173 (multiplicity 6)
Ir1 0.0000 0.5000 0.0000 (multiplicity 9)
Pb1 0.0000 0.0000 0.5000 (multiplicity 3)
O1 0.0326 0.5163 0.1039 (multiplicity 18)
O2 0.0714 0.5357 0.3437 (multiplicity 18)

- Look up the total moment of the fourth one.
  0.24 μB/atom